No. 1
8
Lattice="3.450 -5.195 0.000 3.450 5.195 0.000 0.000 0.000 5.097" Properties=species:S:1:pos:R:3 comment="NaMg6Ga (PBE-GGA, optimized geometry)" space_group="Amm2, No. 38" delta_e_f_mev_per_atom=10 relative_energy_kj_per_mol_atoms=0.0 pbc="T T T"
Na 3.450 3.723 0.000
Mg 1.898 1.031 0.000
Mg 5.003 1.031 0.000
Mg 3.450 -1.694 0.000
Mg 1.822 -1.011 2.549
Mg 5.079 -1.011 2.549
Mg 3.450 -3.683 2.549
Ga 3.450 1.613 2.549



No. 2
4
Lattice="-3.455 -1.813 -2.240 -2.479 -3.227 1.918 -6.491 3.454 2.698" Properties=species:S:1:pos:R:3 comment="PrSmSbTe (PBE-GGA, optimized geometry)" e_form_raw_ev_per_fu=-5.37 space_group="R3m, No. 160" pbc="T T T"
Pr -6.644 -4.233 0.119
Sm -7.017 0.121 1.688
Sb -10.049 -0.359 2.236
Te -3.891 0.496 1.081



No. 3
4
Lattice="0.000 3.260 3.260 3.260 0.000 3.260 3.260 3.260 0.000" Properties=species:S:1:pos:R:3 comment="PWAu2 (PBE-GGA, optimized geometry)" space_group="Fm-3m, No. 225" delta_e_f_mev_per_atom=931 relative_energy_kj_per_mol_atoms=79.4 pbc="T T T"
P 0.000 0.000 0.000
Au 1.630 1.630 1.630
Au 4.890 4.890 4.890
W 3.260 3.260 3.260



No. 4
5
Lattice="6.833 0.000 0.000 0.000 6.833 0.000 0.000 0.000 6.136" Properties=species:S:1:pos:R:3 comment="CsK2CaAg (PBE-GGA, optimized geometry)" space_group="P4/mmm, No. 123" delta_e_f_mev_per_atom=88 pbc="T T T"
Cs 3.416 3.416 3.068
Ca 0.000 0.000 3.068
K 0.000 3.416 0.000
K 3.416 0.000 0.000
Ag 0.000 0.000 0.000



No. 5
6
Lattice="2.569 2.472 -8.695 -8.817 -2.784 1.682 -1.217 4.391 0.889" Properties=species:S:1:pos:R:3 comment="Ba5Se (PBE-GGA, optimized geometry)" e_form_raw_ev_per_fu=-2.06 space_group="P-62m, No. 189" relative_energy_kj_per_mol_atoms=19.0 pbc="T T T"
Ba 1.923 1.851 -6.508
Ba -1.571 -0.078 -1.764
Ba -6.599 -2.084 1.259
Ba -1.835 2.916 -4.792
Ba -5.630 1.164 -1.332
Se -0.608 2.195 0.444



No. 6
5
Lattice="3.609 0.000 -0.579 -0.093 3.608 -0.579 0.032 0.033 11.738" Properties=species:S:1:pos:R:3 comment="Pm2Th2Hg (PBE-GGA, optimized geometry)" space_group="I4/mmm, No. 139" delta_e_f_mev_per_atom=-193 pbc="T T T"
Pm 2.077 2.131 1.408
Pm 1.472 1.510 9.172
Th 2.839 2.913 6.158
Th 0.710 0.728 4.422
Hg 0.000 0.000 0.000



No. 7
5
Lattice="4.964 0.000 0.000 0.000 4.964 0.000 0.000 0.000 4.055" Properties=species:S:1:pos:R:3 comment="AlIOF2 (PBE-GGA, optimized geometry)" e_form_raw_ev_per_fu=-2.49 space_group="P4/mmm, No. 123" relative_energy_kj_per_mol_atoms=110.7 pbc="T T T"
I 0.000 0.000 0.000
Al 2.482 2.482 2.027
O 0.000 0.000 2.027
F 0.000 2.482 0.000
F 2.482 0.000 0.000



No. 8
10
Lattice="4.344 0.000 0.000 0.000 4.344 0.000 0.000 0.000 10.724" Properties=species:S:1:pos:R:3 comment="Ac2ScSi4Pt3 (PBE-GGA, optimized geometry)" e_form_raw_ev_per_fu=-10.10 space_group="P-4m2, No. 115" pbc="T T T"
Ac 2.172 0.000 2.558
Ac 0.000 2.172 8.167
Sc 2.172 2.172 5.362
Si 2.172 2.172 0.000
Si 0.000 0.000 0.000
Si 2.172 0.000 6.947
Si 0.000 2.172 3.777
Pt 0.000 0.000 5.362
Pt 2.172 0.000 9.530
Pt 0.000 2.172 1.195



| no. | volume (Å³/cell) | M_tot (μB per atom) |
| --- | --- | --- |
| 1 | 182.7 | 0.000 |
| 2 | 129.5 | 0.000 |
| 3 | 69.3 | 0.341 |
| 4 | 286.5 | 0.000 |
| 5 | 355.0 | 0.286 |
| 6 | 153.0 | 0.000 |
| 7 | 99.9 | 0.000 |
| 8 | 202.3 | 0.000 |